1.
Dy15ThSc4 (PBE-GGA, relaxed); total magnetization = 0.0 Bohr magnetons per cell; energy relative to the elements = 0.96 kcal/mol of atoms; SG = P4/mmm, No. 123
1.0
4.9396 0.0000 0.0000
0.0000 4.9396 0.0000
0.0000 0.0000 24.6035
Dy Th Sc
15 1 4
Direct
0.0000 0.0000 0.0000 Dy
0.0000 0.0000 0.2043 Dy
0.0000 0.0000 0.4009 Dy
0.0000 0.0000 0.5991 Dy
0.0000 0.0000 0.7957 Dy
0.0000 0.5000 0.1026 Dy
0.0000 0.5000 0.3017 Dy
0.0000 0.5000 0.5000 Dy
0.0000 0.5000 0.6983 Dy
0.0000 0.5000 0.8974 Dy
0.5000 0.0000 0.1026 Dy
0.5000 0.0000 0.3017 Dy
0.5000 0.0000 0.5000 Dy
0.5000 0.0000 0.6983 Dy
0.5000 0.0000 0.8974 Dy
0.5000 0.5000 0.0000 Th
0.5000 0.5000 0.2026 Sc
0.5000 0.5000 0.4010 Sc
0.5000 0.5000 0.5990 Sc
0.5000 0.5000 0.7974 Sc


2.
Dy4ThSc3 (PBE-GGA, relaxed); energy above the most stable polymorph in this dataset = 0 meV/atom; total magnetization = 0.0 Bohr magnetons per cell; energy relative to the elements = 0.97 kcal/mol of atoms; SG = Pmmn, No. 59
1.0
6.9065 0.0000 0.0000
0.0000 9.7040 0.0000
0.0000 0.0000 6.8462
Dy Th Sc
8 2 6
Direct
0.0000 0.0000 0.0000 Dy
0.0000 0.5000 0.0000 Dy
0.2500 0.2500 0.2540 Dy
0.2500 0.2500 0.7424 Dy
0.5000 0.0000 0.0000 Dy
0.5000 0.5000 0.0000 Dy
0.7500 0.7500 0.2576 Dy
0.7500 0.7500 0.7460 Dy
0.2500 0.7500 0.2614 Th
0.7500 0.2500 0.7386 Th
0.0000 0.0000 0.5000 Sc
0.0000 0.5000 0.5000 Sc
0.2500 0.7500 0.7484 Sc
0.5000 0.0000 0.5000 Sc
0.5000 0.5000 0.5000 Sc
0.7500 0.2500 0.2516 Sc


3.
DyTh2Sc6 (PBE-GGA, relaxed); total magnetization = 0.0 Bohr magnetons per cell; energy relative to the elements = 0.77 kcal/mol of atoms; SG = P6/mmm, No. 191
1.0
9.1817 0.0000 0.0000
-4.5908 7.9516 0.0000
0.0000 0.0000 3.3255
Dy Th Sc
1 2 6
Direct
0.0000 0.0000 0.0000 Dy
0.3333 0.6667 0.0000 Th
0.6667 0.3333 0.0000 Th
0.0000 0.3337 0.5000 Sc
0.0000 0.6663 0.5000 Sc
0.3337 0.0000 0.5000 Sc
0.3337 0.3337 0.5000 Sc
0.6663 0.0000 0.5000 Sc
0.6663 0.6663 0.5000 Sc


4.
Dy2Th3Sc3 (PBE-GGA, relaxed); energy above the most stable polymorph in this dataset = 0 meV/atom; total magnetization = 0.0 Bohr magnetons per cell; energy relative to the elements = 0.91 kcal/mol of atoms; SG = Immm, No. 71
1.0
4.7503 0.0000 0.0000
0.0000 4.9243 0.0000
0.0000 0.0000 19.9286
Dy Th Sc
4 6 6
Direct
0.0000 0.0000 0.2488 Dy
0.0000 0.0000 0.7512 Dy
0.5000 0.5000 0.2512 Dy
0.5000 0.5000 0.7488 Dy
0.0000 0.0000 0.0000 Th
0.0000 0.5000 0.1226 Th
0.0000 0.5000 0.8774 Th
0.5000 0.0000 0.3774 Th
0.5000 0.0000 0.6226 Th
0.5000 0.5000 0.5000 Th
0.0000 0.0000 0.5000 Sc
0.0000 0.5000 0.3774 Sc
0.0000 0.5000 0.6226 Sc
0.5000 0.0000 0.1226 Sc
0.5000 0.0000 0.8774 Sc
0.5000 0.5000 0.0000 Sc


5.
Dy2Th3Sc3 (PBE-GGA, relaxed); energy above the most stable polymorph in this dataset = 85 meV/atom; total magnetization = 0.0 Bohr magnetons per cell; energy relative to the elements = 2.88 kcal/mol of atoms; SG = P-62m, No. 189
1.0
8.8103 0.0000 0.0000
-4.4052 7.6300 0.0000
0.0000 0.0000 3.4927
Dy Th Sc
2 3 3
Direct
0.3333 0.6667 0.0000 Dy
0.6667 0.3333 0.0000 Dy
0.0000 0.2316 0.0000 Th
0.2316 0.0000 0.0000 Th
0.7684 0.7684 0.0000 Th
0.0000 0.6070 0.5000 Sc
0.3930 0.3930 0.5000 Sc
0.6070 0.0000 0.5000 Sc


6.
Dy4ThSc (PBE-GGA, relaxed); energy above the most stable polymorph in this dataset = 83 meV/atom; total magnetization = 0.0 Bohr magnetons per cell; energy relative to the elements = 2.71 kcal/mol of atoms; SG = C2/m, No. 12
1.0
11.5289 0.0000 0.0000
0.0000 5.6369 0.0000
-3.7731 0.0000 5.6299
Dy Th Sc
8 2 2
Direct
0.1520 0.0000 0.4894 Dy
0.1907 0.0000 0.0322 Dy
0.3093 0.5000 0.9678 Dy
0.3480 0.5000 0.5106 Dy
0.6520 0.5000 0.4894 Dy
0.6907 0.5000 0.0322 Dy
0.8093 0.0000 0.9678 Dy
0.8480 0.0000 0.5106 Dy
0.0000 0.5000 0.0000 Th
0.5000 0.0000 0.0000 Th
0.0000 0.5000 0.5000 Sc
0.5000 0.0000 0.5000 Sc


7.
Dy2ThSc (PBE-GGA, relaxed); energy above the most stable polymorph in this dataset = 24 meV/atom; total magnetization = 0.0 Bohr magnetons per cell; energy relative to the elements = 1.30 kcal/mol of atoms; SG = R-3m, No. 166
1.0
3.5092 0.0000 0.0000
-1.7546 3.0390 0.0000
0.0000 0.0000 33.8217
Dy Th Sc
6 3 3
Direct
0.0000 0.0000 0.2482 Dy
0.0000 0.0000 0.7518 Dy
0.3333 0.6667 0.4185 Dy
0.3333 0.6667 0.9148 Dy
0.6667 0.3333 0.0852 Dy
0.6667 0.3333 0.5815 Dy
0.0000 0.0000 0.0000 Th
0.3333 0.6667 0.6667 Th
0.6667 0.3333 0.3333 Th
0.0000 0.0000 0.5000 Sc
0.3333 0.6667 0.1667 Sc
0.6667 0.3333 0.8333 Sc


8.
Dy2Th5Sc12 (PBE-GGA, relaxed); energy above the most stable polymorph in this dataset = 0 meV/atom; total magnetization = 0.0 Bohr magnetons per cell; energy relative to the elements = 3.55 kcal/mol of atoms; SG = C2/m, No. 12
1.0
7.4818 -4.2987 0.0000
7.4818 4.2987 0.0000
-0.3068 0.0000 8.2093
Dy Th Sc
2 5 12
Direct
0.1845 0.8155 0.0000 Dy
0.8155 0.1845 0.0000 Dy
0.2068 0.2068 0.0204 Th
0.2656 0.2656 0.4262 Th
0.5000 0.5000 0.5000 Th
0.7344 0.7344 0.5738 Th
0.7932 0.7932 0.9796 Th
0.0574 0.0574 0.3364 Sc
0.0627 0.6859 0.3339 Sc
0.1740 0.5290 0.7493 Sc
0.3141 0.9373 0.6661 Sc
0.4140 0.4140 0.1215 Sc
0.4710 0.8260 0.2507 Sc
0.5290 0.1740 0.7493 Sc
0.5860 0.5860 0.8785 Sc
0.6859 0.0627 0.3339 Sc
0.8260 0.4710 0.2507 Sc
0.9373 0.3141 0.6661 Sc
0.9426 0.9426 0.6636 Sc


9.
Dy2Th2Sc7 (PBE-GGA, relaxed); energy above the most stable polymorph in this dataset = 21 meV/atom; total magnetization = 0.0 Bohr magnetons per cell; energy relative to the elements = 3.76 kcal/mol of atoms; SG = C2/m, No. 12
1.0
5.2929 -5.3789 0.0000
5.2929 5.3789 0.0000
-2.3488 0.0000 5.3429
Dy Th Sc
2 2 7
Direct
0.2053 0.7947 0.0000 Dy
0.7947 0.2053 0.0000 Dy
0.3977 0.3977 0.6782 Th
0.6023 0.6023 0.3218 Th
0.0000 0.0000 0.5000 Sc
0.0680 0.5900 0.3297 Sc
0.2439 0.2439 0.0706 Sc
0.4100 0.9320 0.6703 Sc
0.5900 0.0680 0.3297 Sc
0.7561 0.7561 0.9294 Sc
0.9320 0.4100 0.6703 Sc


10.
Dy7Th2Sc2 (PBE-GGA, relaxed); energy above the most stable polymorph in this dataset = 0 meV/atom; total magnetization = 0.0 Bohr magnetons per cell; energy relative to the elements = 3.22 kcal/mol of atoms; SG = C2/m, No. 12
1.0
3.3827 -5.1601 0.0000
3.3827 5.1601 0.0000
-0.4207 0.0000 9.7643
Dy Th Sc
7 2 2
Direct
0.0000 0.0000 0.0000 Dy
0.1698 0.5810 0.1497 Dy
0.2976 0.2976 0.7054 Dy
0.4190 0.8302 0.8503 Dy
0.5810 0.1698 0.1497 Dy
0.7024 0.7024 0.2946 Dy
0.8302 0.4190 0.8503 Dy
0.1874 0.1874 0.3702 Th
0.8126 0.8126 0.6298 Th
0.2706 0.7294 0.5000 Sc
0.7294 0.2706 0.5000 Sc


11.
Dy2Th5Sc4 (PBE-GGA, relaxed); total magnetization = 0.0 Bohr magnetons per cell; energy relative to the elements = 1.20 kcal/mol of atoms; SG = P-1, No. 2
1.0
3.4190 0.0000 0.0000
-1.7088 8.5260 0.0000
-0.0039 -1.0683 11.1367
Dy Th Sc
2 5 4
Direct
0.1989 0.3941 0.1019 Dy
0.8011 0.6059 0.8981 Dy
0.0533 0.1087 0.2944 Th
0.4058 0.8059 0.4373 Th
0.5000 0.0000 0.0000 Th
0.5942 0.1941 0.5627 Th
0.9467 0.8913 0.7056 Th
0.1287 0.2608 0.8201 Sc
0.2660 0.5361 0.6343 Sc
0.7340 0.4639 0.3657 Sc
0.8713 0.7392 0.1799 Sc


12.
Dy12ThSc6 (PBE-GGA, relaxed); energy above the most stable polymorph in this dataset = 0 meV/atom; total magnetization = 0.0 Bohr magnetons per cell; energy relative to the elements = 3.96 kcal/mol of atoms; SG = R-3m, No. 166
1.0
6.3839 3.6858 4.0694
-6.3839 3.6858 4.0694
0.0000 -7.3715 4.0694
Dy Th Sc
12 1 6
Direct
0.0000 0.2648 0.7352 Dy
0.0000 0.7352 0.2648 Dy
0.1707 0.5887 0.5887 Dy
0.2648 0.0000 0.7352 Dy
0.2648 0.7352 0.0000 Dy
0.4113 0.4113 0.8293 Dy
0.4113 0.8293 0.4113 Dy
0.5887 0.1707 0.5887 Dy
0.5887 0.5887 0.1707 Dy
0.7352 0.0000 0.2648 Dy
0.7352 0.2648 0.0000 Dy
0.8293 0.4113 0.4113 Dy
0.0000 0.0000 0.0000 Th
0.1428 0.1428 0.4014 Sc
0.1428 0.4014 0.1428 Sc
0.4014 0.1428 0.1428 Sc
0.5986 0.8572 0.8572 Sc
0.8572 0.5986 0.8572 Sc
0.8572 0.8572 0.5986 Sc


13.
Dy2Th2Sc5 (PBE-GGA, relaxed); energy above the most stable polymorph in this dataset = 0 meV/atom; total magnetization = 0.0 Bohr magnetons per cell; energy relative to the elements = 5.88 kcal/mol of atoms; SG = P-1, No. 2
1.0
3.3297 0.0000 0.0000
0.0078 7.6267 0.0000
1.6625 1.3037 10.3378
Dy Th Sc
2 2 5
Direct
0.1855 0.1393 0.1282 Dy
0.8145 0.8607 0.8718 Dy
0.4469 0.6540 0.6069 Th
0.5531 0.3460 0.3931 Th
0.0000 0.0000 0.5000 Sc
0.0947 0.7353 0.3081 Sc
0.3086 0.4630 0.8842 Sc
0.6914 0.5370 0.1158 Sc
0.9053 0.2647 0.6919 Sc


14.
Dy3Th3Sc5 (PBE-GGA, relaxed); energy above the most stable polymorph in this dataset = 716 meV/atom; total magnetization = 0.0 Bohr magnetons per cell; energy relative to the elements = 18.90 kcal/mol of atoms; SG = P-62m, No. 189
1.0
8.9921 0.0000 0.0000
-4.4961 7.7874 0.0000
0.0000 0.0000 5.4927
Dy Th Sc
3 3 5
Direct
0.0000 0.5123 0.0000 Dy
0.4877 0.4877 0.0000 Dy
0.5123 0.0000 0.0000 Dy
0.0000 0.7486 0.5000 Th
0.2514 0.2514 0.5000 Th
0.7486 0.0000 0.5000 Th
0.0000 0.3784 0.5000 Sc
0.3333 0.6667 0.5000 Sc
0.3784 0.0000 0.5000 Sc
0.6216 0.6216 0.5000 Sc
0.6667 0.3333 0.5000 Sc


15.
Dy2Th3Sc7 (PBE-GGA, relaxed); total magnetization = 0.0 Bohr magnetons per cell; energy relative to the elements = 2.55 kcal/mol of atoms; SG = P2/m, No. 10
1.0
6.0250 0.0000 0.0000
0.0000 3.3498 0.0000
-1.9001 0.0000 16.4731
Dy Th Sc
2 3 7
Direct
0.0419 0.0000 0.1760 Dy
0.9581 0.0000 0.8240 Dy
0.4612 0.5000 0.8387 Th
0.5000 0.0000 0.5000 Th
0.5388 0.5000 0.1613 Th
0.0000 0.5000 0.5000 Sc
0.2339 0.0000 0.6633 Sc
0.2568 0.0000 0.0039 Sc
0.2759 0.5000 0.3376 Sc
0.7241 0.5000 0.6624 Sc
0.7432 0.0000 0.9961 Sc
0.7661 0.0000 0.3367 Sc


16.
Dy6Th7Sc16 (PBE-GGA, relaxed); total magnetization = 0.0 Bohr magnetons per cell; energy relative to the elements = 5.06 kcal/mol of atoms; SG = Fm-3m, No. 225
1.0
0.0000 7.6004 7.6004
7.6004 0.0000 7.6004
7.6004 7.6004 0.0000
Dy Th Sc
6 7 16
Direct
0.2372 0.2372 0.7628 Dy
0.2372 0.7628 0.2372 Dy
0.2372 0.7628 0.7628 Dy
0.7628 0.2372 0.2372 Dy
0.7628 0.2372 0.7628 Dy
0.7628 0.7628 0.2372 Dy
0.0000 0.0000 0.5000 Th
0.0000 0.5000 0.0000 Th
0.0000 0.5000 0.5000 Th
0.5000 0.0000 0.0000 Th
0.5000 0.0000 0.5000 Th
0.5000 0.5000 0.0000 Th
0.5000 0.5000 0.5000 Th
0.1199 0.6267 0.6267 Sc
0.1670 0.1670 0.1670 Sc
0.1670 0.1670 0.4990 Sc
0.1670 0.4990 0.1670 Sc
0.3733 0.3733 0.3733 Sc
0.3733 0.3733 0.8801 Sc
0.3733 0.8801 0.3733 Sc
0.4990 0.1670 0.1670 Sc
0.5010 0.8330 0.8330 Sc
0.6267 0.1199 0.6267 Sc
0.6267 0.6267 0.1199 Sc
0.6267 0.6267 0.6267 Sc
0.8330 0.5010 0.8330 Sc
0.8330 0.8330 0.5010 Sc
0.8330 0.8330 0.8330 Sc
0.8801 0.3733 0.3733 Sc


17.
DyTh3Sc (PBE-GGA, relaxed); energy above the most stable polymorph in this dataset = 240 meV/atom; total magnetization = 0.0 Bohr magnetons per cell; energy relative to the elements = 6.49 kcal/mol of atoms; SG = R-3, No. 148
1.0
4.7994 2.7709 3.8725
-4.7994 2.7709 3.8725
0.0000 -5.5418 3.8725
Dy Th Sc
2 6 2
Direct
0.1295 0.1295 0.1295 Dy
0.8705 0.8705 0.8705 Dy
0.0876 0.4149 0.7440 Th
0.2560 0.9124 0.5851 Th
0.4149 0.7440 0.0876 Th
0.5851 0.2560 0.9124 Th
0.7440 0.0876 0.4149 Th
0.9124 0.5851 0.2560 Th
0.3785 0.3785 0.3785 Sc
0.6215 0.6215 0.6215 Sc


18.
DyTh3Sc12 (PBE-GGA, relaxed); total magnetization = 0.0 Bohr magnetons per cell; energy relative to the elements = 0.80 kcal/mol of atoms; SG = P4/mmm, No. 123
1.0
4.7205 0.0000 0.0000
0.0000 4.7205 0.0000
0.0000 0.0000 18.8676
Dy Th Sc
1 3 12
Direct
0.0000 0.0000 0.0000 Dy
0.0000 0.0000 0.2502 Th
0.0000 0.0000 0.5000 Th
0.0000 0.0000 0.7498 Th
0.0000 0.5000 0.1260 Sc
0.0000 0.5000 0.3751 Sc
0.0000 0.5000 0.6249 Sc
0.0000 0.5000 0.8740 Sc
0.5000 0.0000 0.1260 Sc
0.5000 0.0000 0.3751 Sc
0.5000 0.0000 0.6249 Sc
0.5000 0.0000 0.8740 Sc
0.5000 0.5000 0.0000 Sc
0.5000 0.5000 0.2498 Sc
0.5000 0.5000 0.5000 Sc
0.5000 0.5000 0.7502 Sc


19.
Dy5Th5Sc2 (PBE-GGA, relaxed); total magnetization = 0.0 Bohr magnetons per cell; energy relative to the elements = 1.31 kcal/mol of atoms; SG = C2/m, No. 12
1.0
7.3395 -2.5034 0.0000
7.3395 2.5034 0.0000
-4.8588 0.0000 10.0266
Dy Th Sc
5 5 2
Direct
0.0000 0.0000 0.0000 Dy
0.0820 0.0820 0.7479 Dy
0.1697 0.1697 0.5043 Dy
0.8303 0.8303 0.4957 Dy
0.9180 0.9180 0.2521 Dy
0.2475 0.2475 0.2459 Th
0.3326 0.3326 0.9959 Th
0.5000 0.5000 0.5000 Th
0.6674 0.6674 0.0041 Th
0.7525 0.7525 0.7541 Th
0.4166 0.4166 0.7490 Sc
0.5834 0.5834 0.2510 Sc


20.
Dy6Th4Sc (PBE-GGA, relaxed); total magnetization = 0.0 Bohr magnetons per cell; energy relative to the elements = 8.24 kcal/mol of atoms; SG = I-42m, No. 121
1.0
-3.1594 3.1594 8.9233
3.1594 -3.1594 8.9233
3.1594 3.1594 -8.9233
Dy Th Sc
6 4 1
Direct
0.0000 0.5000 0.5000 Dy
0.1900 0.1900 0.6307 Dy
0.4406 0.8100 0.0000 Dy
0.5000 0.0000 0.5000 Dy
0.5594 0.5594 0.3693 Dy
0.8100 0.4406 0.0000 Dy
0.0015 0.6207 0.0000 Th
0.3793 0.3793 0.3808 Th
0.6207 0.0015 0.0000 Th
0.9985 0.9985 0.6192 Th
0.0000 0.0000 0.0000 Sc